[1]
The following is a PBE calculation of a geometry-optimized GaRuF2 structure, from the Alexandria database.

Calculated values
- Energy above the most stable polymorph in this dataset: 0.000 eV per atom
- Electronic total energy: -59.8 eV per cell
- Calculated density: 6.670 g/cm3
- Raw formation energy: -0.97 eV per atom
- Calculated volume: 155.9 Å³/cell

Lattice parameters (Å, degrees): 2.7403 2.7403 23.9784 90.00 90.00 120.00
Last column: nearest neighbours and their distance in Å.
Element x y z (fractional)
Ga: 0.0000 0.0000 0.0000  6 F 2.56, 6 Ga 2.74
Ga: 0.3333 0.6667 0.6667  6 F 2.56, 6 Ga 2.74
Ga: 0.6667 0.3333 0.3333  6 F 2.56, 6 Ga 2.74
Ru: 0.0000 0.0000 0.5000  2 F 1.99
Ru: 0.3333 0.6667 0.1667  2 F 1.99
Ru: 0.6667 0.3333 0.8333  2 F 1.99
F: 0.0000 0.0000 0.4172  1 Ru 1.99
F: 0.0000 0.0000 0.5828  1 Ru 1.99
F: 0.3333 0.6667 0.0839  1 Ru 1.99
F: 0.3333 0.6667 0.2495  1 Ru 1.99
F: 0.6667 0.3333 0.7505  1 Ru 1.99
F: 0.6667 0.3333 0.9161  1 Ru 1.99

[2]
The following is a PBE calculation of a geometry-optimized VMoRh2 structure, from the Alexandria database.

Calculated values
- Energy of formation: -265 meV/atom
- Energy above the most stable polymorph in this dataset: 0.004 eV per atom
- Electronic total energy: -35.7 eV per cell
- Calculated density: 10.237 g/cm3
- Calculated volume: 57.2 Å³/cell

Lattice parameters (Å, degrees): 3.8719 3.8719 3.8163 90.00 90.00 90.00
Last column: nearest neighbours and their distance in Å.
Element x y z (fractional)
V: 0.0000 0.0000 0.0000  8 Rh 2.72, 4 Mo 2.74
Mo: 0.5000 0.5000 0.0000  8 Rh 2.72, 4 V 2.74
Rh: 0.0000 0.5000 0.5000  4 Mo 2.72, 4 V 2.72, 4 Rh 2.74
Rh: 0.5000 0.0000 0.5000  4 Mo 2.72, 4 V 2.72, 4 Rh 2.74

[3]
The following is a PBE calculation of a geometry-optimized CoIr2Se structure, from the Alexandria database.

Calculated values
- Electronic total energy: -80.5 eV per cell
- Calculated density: 14.842 g/cm3
- Raw formation energy: 0.37 eV per atom
- Calculated volume: 175.3 Å³/cell

Lattice parameters (Å, degrees): 2.8588 2.8588 24.7685 90.00 90.00 120.00
Last column: nearest neighbours and their distance in Å.
Element x y z (fractional)
Co: 0.0000 0.0000 0.0000  6 Ir 2.60, 6 Co 2.86
Co: 0.3333 0.6667 0.6667  6 Ir 2.60, 6 Co 2.86
Co: 0.6667 0.3333 0.3333  6 Ir 2.60, 6 Co 2.86
Ir: 0.0000 0.0000 0.2521  3 Co 2.60, 3 Se 2.68, 6 Ir 2.86
Ir: 0.0000 0.0000 0.7479  3 Co 2.60, 3 Se 2.68, 6 Ir 2.86
Ir: 0.3333 0.6667 0.4146  3 Co 2.60, 3 Se 2.68, 6 Ir 2.86
Ir: 0.3333 0.6667 0.9187  3 Co 2.60, 3 Se 2.68, 6 Ir 2.86
Ir: 0.6667 0.3333 0.0813  3 Co 2.60, 3 Se 2.68, 6 Ir 2.86
Ir: 0.6667 0.3333 0.5854  3 Co 2.60, 3 Se 2.68, 6 Ir 2.86
Se: 0.0000 0.0000 0.5000  6 Ir 2.68, 6 Se 2.86
Se: 0.3333 0.6667 0.1667  6 Ir 2.68, 6 Se 2.86
Se: 0.6667 0.3333 0.8333  6 Ir 2.68, 6 Se 2.86

[4]
The following is a PBE calculation of a geometry-optimized Cd2HgAs structure, from the Alexandria database.

Calculated values
- Energy of formation: 78 meV/atom
- Energy above the most stable polymorph in this dataset: 0.064 eV per atom
- Electronic total energy: -12.9 eV per cell
- Calculated density: 8.452 g/cm3
- Calculated volume: 196.6 Å³/cell

Lattice parameters (Å, degrees): 3.4692 4.2457 13.3469 90.00 90.00 90.00
Last column: nearest neighbours and their distance in Å.
Element x y z (fractional)
Cd: 0.0000 0.0000 0.0000  4 As 2.86, 2 Hg 3.11
Cd: 0.0000 0.5000 0.2312  2 As 2.86, 4 Hg 3.04
Cd: 0.5000 0.0000 0.7312  2 As 2.86, 4 Hg 3.04
Cd: 0.5000 0.5000 0.5000  4 As 2.86, 2 Hg 3.11
Hg: 0.0000 0.5000 0.8300  6 Cd 3.04-3.11
Hg: 0.5000 0.0000 0.3300  6 Cd 3.04-3.11
As: 0.0000 0.0000 0.5611  6 Cd 2.86
As: 0.5000 0.5000 0.0611  6 Cd 2.86

| no. | total moment (μB/f.u.) |
| --- | --- |
| 1 | 0.9 |
| 2 | 0.0 |
| 3 | 2.5 |
| 4 | 0.0 |